Computed, not measured: crystalline NaAlSbTe at its relaxed geometry at the PBE-GGA level of DFT.

Computed properties:
E_form (uncorrected): -0.176 eV per atom
ΔE to the lowest computed polymorph: 77.1 kJ/mol of formula units
Calculated total energy: -3.258 eV/atom

Unit cell a=3.165 b=5.251 c=6.691 alpha=90.00 beta=90.00 gamma=90.00
Space group Pmm2 (No. 25)
Asymmetric unit:
Na 0.000 0.000 0.000 [1 per cell]
Al 0.500 0.500 0.312 [1 per cell]
Sb 0.500 0.000 0.469 [1 per cell]
Te 0.500 0.500 0.905 [1 per cell]

Computed, not measured: crystalline In2SbMo at its relaxed geometry at the PBE-GGA level of DFT.

Computed properties:
E_form (uncorrected): 0.477 eV per atom
Calculated total energy: -4.631 eV/atom

Unit cell a=3.378 b=5.125 c=5.364 alpha=90.00 beta=100.45 gamma=90.00
Space group P2/m (No. 10)
Asymmetric unit:
In 0.173 0.000 0.267 [2 per cell]
Sb 0.500 0.500 0.000 [1 per cell]
Mo 0.500 0.500 0.500 [1 per cell]

Computed, not measured: crystalline Cr2TcSe at its relaxed geometry at the PBE-GGA level of DFT.

Computed properties:
E_form (uncorrected): 0.294 eV per atom
Calculated total energy: -7.980 eV/atom

Unit cell a=2.963 b=3.844 c=4.930 alpha=90.00 beta=90.00 gamma=90.00
Space group Pmm2 (No. 25)
Asymmetric unit:
Cr 0.000 0.000 0.000 [1 per cell]
Cr 0.500 0.500 0.253 [1 per cell]
Tc 0.500 0.500 0.771 [1 per cell]
Se 0.000 0.000 0.496 [1 per cell]

Computed, not measured: crystalline Cr2CuPb at its relaxed geometry at the PBE-GGA level of DFT.

Computed properties:
Calculated total energy: -6.083 eV/atom
DFT formation energy: 262.5 kJ/mol of formula units

Unit cell a=2.971 b=4.530 c=4.966 alpha=90.00 beta=91.28 gamma=90.00
Space group P2/m (No. 10)
Asymmetric unit:
Cr 0.213 0.000 0.161 [2 per cell]
Cu 0.500 0.500 0.000 [1 per cell]
Pb 0.000 0.500 0.500 [1 per cell]

Which of these has the highest calculated total energy? NaAlSbTe

Which formula does entry 1 have? NaAlSbTe

Please write out number 1 again, unchanged.
Computed, not measured: crystalline NaAlSbTe at its relaxed geometry at the PBE-GGA level of DFT.

Computed properties:
E_form (uncorrected): -0.176 eV per atom
ΔE to the lowest computed polymorph: 77.1 kJ/mol of formula units
Calculated total energy: -3.258 eV/atom

Unit cell a=3.165 b=5.251 c=6.691 alpha=90.00 beta=90.00 gamma=90.00
Space group Pmm2 (No. 25)
Asymmetric unit:
Na 0.000 0.000 0.000 [1 per cell]
Al 0.500 0.500 0.312 [1 per cell]
Sb 0.500 0.000 0.469 [1 per cell]
Te 0.500 0.500 0.905 [1 per cell]

Which of these has the highest calculated total energy? NaAlSbTe